La2Nd9Tm | GGA-PBE | optimized geometry

CIF file:
```
data_La2Nd9Tm
_chemical_formula_sum 'La2 Nd9 Tm1'
_symmetry_space_group_name_H-M 'P 4/m m m'
_symmetry_Int_Tables_number 123
_symmetry_space_group_name_Hall '-P 4 2'
_cell_length_a 5.1988
_cell_length_b 5.1988
_cell_length_c 15.5954
_cell_angle_alpha 90.00
_cell_angle_beta 90.00
_cell_angle_gamma 90.00
loop_
_atom_site_label
_atom_site_fract_x
_atom_site_fract_y
_atom_site_fract_z
La1 0.0000 0.0000 0.1681
Nd1 0.0000 0.5000 0.0000
Nd2 0.0000 0.5000 0.3371
Nd3 0.5000 0.5000 0.1689
Nd4 0.5000 0.5000 0.5000
Tm1 0.0000 0.0000 0.5000
```

Output
As for the energy of formation from the pure elements: 0.39 kcal/mol of atoms.


CdPb3I8 | GGA-PBE | optimized geometry

CIF file:
```
data_CdPb3I8
_chemical_formula_sum 'Cd2 Pb6 I16'
_symmetry_space_group_name_H-M 'P 63 m c'
_symmetry_Int_Tables_number 186
_symmetry_space_group_name_Hall 'P 6c -2c'
_cell_length_a 9.3040
_cell_length_b 9.3040
_cell_length_c 14.3254
_cell_angle_alpha 90.00
_cell_angle_beta 90.00
_cell_angle_gamma 120.00
loop_
_atom_site_label
_atom_site_fract_x
_atom_site_fract_y
_atom_site_fract_z
Cd1 0.3333 0.6667 0.0000
Pb1 0.1692 0.3385 0.7390
I1 0.0000 0.0000 0.3648
I2 0.0240 0.5120 0.8786
I3 0.1744 0.3488 0.1167
I4 0.3333 0.6667 0.6068
```

Output
The formation energy without anion corrections comes out at -0.606 eV per atom.


no.,D(E_F) (states/eV/f.u.)
1,21.0
2,0.0